Entry 1:
VASP calculation (GGA-PBE) on a geometry-optimized As2RuSe structure.

Values from the calculation:
uncorrected formation energy = 0.409 eV/atom

Geometry as CIF:
```
data_As2RuSe
_chemical_formula_sum 'As4 Ru2 Se2'
_space_group_name_H-M_alt 'C 1 2 1'
_space_group_IT_number 5
_cell_length_a 6.445
_cell_length_b 6.518
_cell_length_c 4.560
_cell_angle_alpha 90.00
_cell_angle_beta 134.91
_cell_angle_gamma 90.00
loop_
_space_group_symop_operation_xyz
'x,y,z'
'-x,y,-z'
'x+1/2,y+1/2,z'
'-x+1/2,y+1/2,-z'
loop_
_atom_site_label
_atom_site_fract_x
_atom_site_fract_y
_atom_site_fract_z
As1 0.000 0.000 0.000
As2 0.000 0.251 0.500
Ru1 0.000 0.749 0.500
Se1 0.000 0.500 0.000
```

Entry 2:
VASP calculation (GGA-PBE) on a geometry-optimized Mg2InPbO6 structure.

Values from the calculation:
uncorrected formation energy = -1.612 eV/atom

Geometry as CIF:
```
data_Mg2InPbO6
_chemical_formula_sum 'Mg6 In3 Pb3 O18'
_space_group_name_H-M_alt 'R 3'
_space_group_IT_number 146
_space_group_name_Hall 'R 3'
_cell_length_a 5.4245
_cell_length_b 5.4245
_cell_length_c 14.5670
_cell_angle_alpha 90.00
_cell_angle_beta 90.00
_cell_angle_gamma 120.00
loop_
_atom_site_label
_atom_site_fract_x
_atom_site_fract_y
_atom_site_fract_z
Mg1 0.0000 0.0000 0.0000
Mg2 0.0000 0.0000 0.4996
In1 0.0000 0.0000 0.7099
Pb1 0.0000 0.0000 0.2100
O1 0.0186 0.7099 0.1001
O2 0.0204 0.3075 0.6005
```

Entry 3:
VASP calculation (GGA-PBE) on a geometry-optimized BaTc2NiI structure.

Values from the calculation:
uncorrected formation energy = 1.259 eV/atom

Geometry as CIF:
```
data_BaTc2NiI
_chemical_formula_sum 'Ba1 Tc2 Ni1 I1'
_space_group_name_H-M_alt 'P 4/m m m'
_space_group_IT_number 123
_space_group_name_Hall '-P 4 2'
_cell_length_a 5.071
_cell_length_b 5.071
_cell_length_c 4.843
_cell_angle_alpha 90.00
_cell_angle_beta 90.00
_cell_angle_gamma 90.00
loop_
_atom_site_label
_atom_site_fract_x
_atom_site_fract_y
_atom_site_fract_z
Ba1 0.000 0.000 0.000
Tc1 0.000 0.500 0.500
Ni1 0.500 0.500 0.000
I1 0.500 0.500 0.500
```

Entry 4:
VASP calculation (GGA-PBE) on a geometry-optimized Li7Ag12Ge structure.

Values from the calculation:
formation energy = -93 meV per atom

Geometry as CIF:
```
data_Li7Ag12Ge
_chemical_formula_sum 'Li21 Ag36 Ge3'
_space_group_name_H-M_alt 'R -3'
_space_group_IT_number 148
_space_group_name_Hall '-R 3'
_cell_length_a 10.1021
_cell_length_b 10.1021
_cell_length_c 12.3272
_cell_angle_alpha 90.00
_cell_angle_beta 90.00
_cell_angle_gamma 120.00
loop_
_atom_site_label
_atom_site_fract_x
_atom_site_fract_y
_atom_site_fract_z
Li1 0.0000 0.0000 0.0000
Li2 0.0258 0.1895 0.3115
Ag1 0.0262 0.4478 0.2002
Ag2 0.0747 0.8217 0.9193
Ge1 0.0000 0.0000 0.5000
```

It is found that the total magnetization values, taken in the order of the records, are 0.00 3.26 3.82 0.00 μB/cell.
It is found that the raw total energy values, taken in the order of the records, are -5.106 -5.551 -4.739 -2.705 eV per atom.